Record 1
{"formula": "ZnCo2Ru", "functional": "GGA-PBE", "state": "optimized geometry", "lattice": [[1.312, 0.758, 8.383], [-1.312, 0.758, 8.383], [0.000, -1.516, 8.383]], "species": ["Zn", "Co", "Co", "Ru"], "fractional_positions": [[0.000, 0.000, 0.000], [0.494, 0.494, 0.494], [0.751, 0.751, 0.751], [0.243, 0.243, 0.243]], "m_tot_mub_per_cell": 2.9, "formation_energy_ev_per_fu": 0.4, "rho_g_cm3": 9.4}

Record 2
{"formula": "BaEuTlGe", "functional": "GGA-PBE", "state": "optimized geometry", "lattice": [[0.000, 4.033, 4.033], [4.033, 0.000, 4.033], [4.033, 4.033, 0.000]], "species": ["Ba", "Eu", "Tl", "Ge"], "fractional_positions": [[0.000, 0.000, 0.000], [0.500, 0.500, 0.500], [0.250, 0.250, 0.250], [0.750, 0.750, 0.750]], "m_tot_mub_per_cell": 7.3, "formation_energy_ev_per_fu": -1.5, "rho_g_cm3": 7.2}

Record 3
{"formula": "ZrTa3", "functional": "GGA-PBE", "state": "optimized geometry", "lattice": [[1.663, -2.398, 0.000], [1.663, 2.398, 0.000], [0.000, 0.000, 9.674]], "species": ["Zr", "Ta", "Ta", "Ta"], "fractional_positions": [[0.000, 0.000, 0.000], [0.000, 0.000, 0.500], [0.500, 0.500, 0.264], [0.500, 0.500, 0.736]], "m_tot_mub_per_cell": 0.0, "formation_energy_ev_per_fu": 0.3, "rho_g_cm3": 13.6, "de_polymorph_ev_per_fu": 0.000}

Record 4
{"formula": "Al2SbTe", "functional": "GGA-PBE", "state": "optimized geometry", "lattice": [[2.055, -3.045, 0.000], [2.055, 3.045, 0.000], [0.000, 0.000, 7.886]], "species": ["Al", "Al", "Sb", "Te"], "fractional_positions": [[0.000, 0.000, 0.248], [0.000, 0.000, 0.752], [0.500, 0.500, 0.000], [0.500, 0.500, 0.500]], "m_tot_mub_per_cell": 0.0, "e_form_raw_ev_per_atom": 0.18, "rho_g_cm3": 5.1, "de_polymorph_ev_per_fu": 1.176}

Record 5
{"formula": "Rb2HfAgTe4", "functional": "GGA-PBE", "state": "optimized geometry", "lattice": [[0.000, 7.238, 13.832], [3.263, 0.000, 13.832], [3.263, 7.238, 0.000]], "species": ["Rb", "Rb", "Rb", "Rb", "Hf", "Hf", "Ag", "Ag", "Te", "Te", "Te", "Te", "Te", "Te", "Te", "Te"], "fractional_positions": [[0.054, 0.054, 0.696], [0.304, 0.304, 0.946], [0.696, 0.696, 0.054], [0.946, 0.946, 0.304], [0.125, 0.125, 0.125], [0.875, 0.875, 0.875], [0.375, 0.375, 0.375], [0.625, 0.625, 0.625], [0.057, 0.309, 0.413], [0.279, 0.587, 0.691], [0.309, 0.057, 0.721], [0.413, 0.721, 0.057], [0.587, 0.279, 0.943], [0.691, 0.943, 0.279], [0.721, 0.413, 0.309], [0.943, 0.691, 0.587]], "m_tot_mub_per_cell": 0.0, "e_form_raw_ev_per_atom": -0.72, "rho_g_cm3": 4.9}

Record 6
{"formula": "Cr2InNi", "functional": "GGA-PBE", "state": "optimized geometry", "lattice": [[-1.975, 1.975, 3.786], [1.975, -1.975, 3.786], [1.975, 1.975, -3.786]], "species": ["Cr", "Cr", "In", "Ni"], "fractional_positions": [[0.000, 0.000, 0.000], [0.750, 0.250, 0.500], [0.250, 0.750, 0.500], [0.500, 0.500, 0.000]], "m_tot_mub_per_cell": 0.2, "formation_energy_ev_per_fu": 0.8, "rho_g_cm3": 7.8}

Record 7
{"formula": "KCrPt", "functional": "GGA-PBE", "state": "optimized geometry", "lattice": [[4.901, 0.000, 0.000], [-2.450, 4.244, 0.000], [0.000, 0.000, 3.119]], "species": ["K", "Cr", "Pt"], "fractional_positions": [[0.000, 0.000, 0.000], [0.333, 0.667, 0.500], [0.667, 0.333, 0.500]], "m_tot_mub_per_cell": 4.6, "formation_energy_ev_per_fu": 2.0, "rho_g_cm3": 7.3, "de_polymorph_ev_per_fu": 1.214}

Record 8
{"formula": "LiLa2Cu12Ni3", "functional": "GGA-PBE", "state": "optimized geometry", "lattice": [[3.979, 2.297, 5.868], [-3.979, 2.297, 5.868], [0.000, -4.595, 5.868]], "species": ["Li", "La", "La", "Cu", "Cu", "Cu", "Cu", "Cu", "Cu", "Cu", "Cu", "Cu", "Cu", "Cu", "Cu", "Ni", "Ni", "Ni"], "fractional_positions": [[0.000, 0.000, 0.000], [0.391, 0.391, 0.391], [0.609, 0.609, 0.609], [0.005, 0.347, 0.347], [0.127, 0.127, 0.649], [0.127, 0.649, 0.127], [0.347, 0.005, 0.347], [0.347, 0.347, 0.005], [0.351, 0.873, 0.873], [0.649, 0.127, 0.127], [0.653, 0.653, 0.995], [0.653, 0.995, 0.653], [0.873, 0.351, 0.873], [0.873, 0.873, 0.351], [0.995, 0.653, 0.653], [0.000, 0.000, 0.500], [0.000, 0.500, 0.000], [0.500, 0.000, 0.000]], "m_tot_mub_per_cell": 0.0, "formation_energy_ev_per_fu": 6.8, "rho_g_cm3": 6.3}

Record 9
{"formula": "BaPrGe4", "functional": "GGA-PBE", "state": "optimized geometry", "lattice": [[8.219, 0.000, 0.000], [0.000, 17.570, 0.000], [0.000, 0.000, 4.558]], "species": ["Ba", "Ba", "Ba", "Ba", "Pr", "Pr", "Pr", "Pr", "Ge", "Ge", "Ge", "Ge", "Ge", "Ge", "Ge", "Ge", "Ge", "Ge", "Ge", "Ge", "Ge", "Ge", "Ge", "Ge"], "fractional_positions": [[0.133, 0.157, 0.000], [0.367, 0.657, 0.000], [0.633, 0.343, 0.000], [0.867, 0.843, 0.000], [0.133, 0.412, 0.000], [0.367, 0.912, 0.000], [0.633, 0.088, 0.000], [0.867, 0.588, 0.000], [0.014, 0.692, 0.500], [0.117, 0.950, 0.500], [0.130, 0.542, 0.500], [0.203, 0.806, 0.500], [0.297, 0.306, 0.500], [0.370, 0.042, 0.500], [0.383, 0.450, 0.500], [0.486, 0.192, 0.500], [0.514, 0.808, 0.500], [0.617, 0.550, 0.500], [0.630, 0.958, 0.500], [0.703, 0.694, 0.500], [0.797, 0.194, 0.500], [0.870, 0.458, 0.500], [0.883, 0.050, 0.500], [0.986, 0.308, 0.500]], "m_tot_mub_per_cell": 0.0, "formation_energy_ev_per_fu": -3.1, "rho_g_cm3": 5.7, "de_polymorph_ev_per_fu": 0.000}

Record 10
{"formula": "AgBr2N", "functional": "GGA-PBE", "state": "optimized geometry", "lattice": [[2.009, 1.160, 7.768], [-2.009, 1.160, 7.768], [0.000, -2.319, 7.768]], "species": ["Ag", "Br", "Br", "N"], "fractional_positions": [[0.000, 0.000, 0.000], [0.105, 0.105, 0.105], [0.895, 0.895, 0.895], [0.500, 0.500, 0.500]], "m_tot_mub_per_cell": 2.0, "e_form_raw_ev_per_atom": 1.29, "rho_g_cm3": 4.3, "de_polymorph_ev_per_fu": 1.103}

Record 11
{"formula": "ThTi2Pd9", "functional": "GGA-PBE", "state": "optimized geometry", "lattice": [[4.052, 0.000, 0.000], [0.000, 4.052, 0.000], [0.000, 0.000, 11.950]], "species": ["Th", "Ti", "Ti", "Pd", "Pd", "Pd", "Pd", "Pd", "Pd", "Pd", "Pd", "Pd"], "fractional_positions": [[0.000, 0.000, 0.000], [0.000, 0.000, 0.342], [0.000, 0.000, 0.658], [0.000, 0.500, 0.182], [0.000, 0.500, 0.500], [0.000, 0.500, 0.818], [0.500, 0.000, 0.182], [0.500, 0.000, 0.500], [0.500, 0.000, 0.818], [0.500, 0.500, 0.000], [0.500, 0.500, 0.341], [0.500, 0.500, 0.659]], "m_tot_mub_per_cell": 0.3, "formation_energy_ev_per_fu": -8.4, "rho_g_cm3": 10.9}

Record 12
{"formula": "Y3Si4Pt2", "functional": "GGA-PBE", "state": "optimized geometry", "lattice": [[5.173, -2.121, 0.000], [5.173, 2.121, 0.000], [-2.363, 0.000, 7.872]], "species": ["Y", "Y", "Y", "Si", "Si", "Si", "Si", "Pt", "Pt"], "fractional_positions": [[0.000, 0.000, 0.000], [0.364, 0.364, 0.309], [0.636, 0.636, 0.691], [0.095, 0.095, 0.426], [0.274, 0.274, 0.937], [0.726, 0.726, 0.063], [0.905, 0.905, 0.574], [0.348, 0.348, 0.686], [0.652, 0.652, 0.314]], "m_tot_mub_per_cell": 0.0, "e_form_raw_ev_per_atom": -1.02, "rho_g_cm3": 7.4}

Record 13
{"formula": "Sc4ZnSe", "functional": "GGA-PBE", "state": "optimized geometry", "lattice": [[0.000, 4.090, 4.090], [4.090, 0.000, 4.090], [4.090, 4.090, 0.000]], "species": ["Sc", "Sc", "Sc", "Sc", "Zn", "Se"], "fractional_positions": [[0.376, 0.376, 0.376], [0.376, 0.376, 0.872], [0.376, 0.872, 0.376], [0.872, 0.376, 0.376], [0.750, 0.750, 0.750], [0.000, 0.000, 0.000]], "m_tot_mub_per_cell": 0.0, "e_form_raw_ev_per_atom": 0.20, "rho_g_cm3": 3.9}

Record 14
{"formula": "HfReCl2", "functional": "GGA-PBE", "state": "optimized geometry", "lattice": [[1.522, 0.879, 8.596], [-1.522, 0.879, 8.596], [0.000, -1.758, 8.596]], "species": ["Hf", "Re", "Cl", "Cl"], "fractional_positions": [[0.000, 0.000, 0.000], [0.500, 0.500, 0.500], [0.408, 0.408, 0.408], [0.592, 0.592, 0.592]], "m_tot_mub_per_cell": 0.0, "e_form_raw_ev_per_atom": -0.02, "rho_g_cm3": 10.5, "de_polymorph_ev_per_fu": 0.000}

Record 15
{"formula": "PmTmCI", "functional": "GGA-PBE", "state": "optimized geometry", "lattice": [[1.891, 1.092, 7.501], [-1.891, 1.092, 7.501], [0.000, -2.183, 7.501]], "species": ["Pm", "Tm", "C", "I"], "fractional_positions": [[0.000, 0.000, 0.000], [0.219, 0.219, 0.219], [0.603, 0.603, 0.603], [0.780, 0.780, 0.780]], "m_tot_mub_per_cell": 0.0, "e_form_raw_ev_per_atom": -0.72, "rho_g_cm3": 8.1}

Record 16
{"formula": "ErTm3Co4", "functional": "GGA-PBE", "state": "optimized geometry", "lattice": [[4.647, 0.000, 0.000], [0.000, 4.647, 0.000], [0.000, 0.000, 6.605]], "species": ["Er", "Tm", "Tm", "Tm", "Co", "Co", "Co", "Co"], "fractional_positions": [[0.000, 0.000, 0.000], [0.000, 0.000, 0.500], [0.500, 0.500, 0.000], [0.500, 0.500, 0.500], [0.000, 0.500, 0.251], [0.000, 0.500, 0.749], [0.500, 0.000, 0.251], [0.500, 0.000, 0.749]], "m_tot_mub_per_cell": 1.4, "formation_energy_ev_per_fu": -1.7, "rho_g_cm3": 10.6}

Record 17
{"formula": "YZrI2N", "functional": "GGA-PBE", "state": "optimized geometry", "lattice": [[5.901, 0.000, 0.000], [0.000, 5.901, 0.000], [0.000, 0.000, 4.032]], "species": ["Y", "Zr", "I", "I", "N"], "fractional_positions": [[0.000, 0.000, 0.000], [0.500, 0.500, 0.500], [0.000, 0.500, 0.500], [0.500, 0.000, 0.500], [0.500, 0.500, 0.000]], "m_tot_mub_per_cell": 0.1, "e_form_raw_ev_per_atom": -0.28, "rho_g_cm3": 5.3, "de_polymorph_ev_per_fu": 0.000}

| no. | density of states at the Fermi level (states/eV/f.u.) |
| --- | --- |
| 1 | 3.59 |
| 2 | 8.21 |
| 3 | 6.54 |
| 4 | 2.03 |
| 5 | 8.02 |
| 6 | 2.25 |
| 7 | 1.99 |
| 8 | 9.60 |
| 9 | 2.61 |
| 10 | 5.22 |
| 11 | 4.69 |
| 12 | 3.98 |
| 13 | 9.32 |
| 14 | 3.78 |
| 15 | 2.27 |
| 16 | 3.77 |
| 17 | 3.70 |